BSeO PBE-GGA relaxed; theoretical density = 4.247 g/cm3; E_form (uncorrected) = -1.1281 eV/atom; space-group type = No. 62
1.0
4.9213 0.0000 0.0000
0.0000 5.9438 0.0000
0.0000 0.0000 5.6554
B O Se
4 4 4
Direct
0.2500 0.8278 0.4244 B
0.7500 0.3278 0.0756 B
0.7500 0.6722 0.5756 B
0.2500 0.1722 0.9244 B
0.5001 0.7500 0.4999 O
0.4999 0.2500 0.0001 O
0.0001 0.7500 0.5001 O
0.9999 0.2500 0.9999 O
0.7501 0.2988 0.4731 Se
0.2499 0.7988 0.0269 Se
0.2501 0.2012 0.5269 Se
0.7499 0.7012 0.9731 Se